{"formula": "KTa3Tc", "functional": "meta-GGA SCAN", "state": "PBEsol geometry", "cell": [[4.8806, 0.0000, 0.0000], [0.0000, 4.8806, 0.0000], [0.0000, 0.0000, 4.8806]], "species": ["Ta", "Ta", "Ta", "Tc", "K"], "frac_coords": [[0.0000, 0.0000, 0.5000], [0.5000, 0.0000, 0.0000], [0.0000, 0.5000, 0.0000], [0.0000, 0.0000, 0.0000], [0.5000, 0.5000, 0.5000]], "delta_e_f_ev_per_atom": 1.355}